Entry 1:
# Ac6IrAu2

A relaxed structure of Ac6IrAu2 (PBE, Alexandria).

abc: 7.403 8.006 12.999
angles: 90.00 120.02 90.00
Space group P2_1/c (No. 14)
One atom of each set of equivalent atoms:
Ac  0.097  0.043  0.250
Ac  0.242  0.684  0.074
Ac  0.381  0.191  0.065
Ir  0.000  0.000  0.000
Au  0.330  0.109  0.774

Output
Formation enthalpy at 0 K   -0.558 eV/atom

---

Entry 2:
# Ac4Ir2Au5

A relaxed structure of Ac4Ir2Au5 (PBE, Alexandria).

abc: 7.598 4.256 9.115
angles: 90.00 91.40 90.00
Space group P2/m (No. 10)
One atom of each set of equivalent atoms:
Ac  0.216  0.000  0.351
Ac  0.242  0.000  0.891
Ir  0.049  0.500  0.136
Au  0.155  0.500  0.618
Au  0.425  0.500  0.144
Au  0.500  0.500  0.500

Output
Formation enthalpy at 0 K   -0.718 eV/atom

---

Entry 3:
# Ac6Ir2Au

A relaxed structure of Ac6Ir2Au (PBE, Alexandria).

abc: 7.5787 7.5787 21.2521
angles: 90.00 90.00 120.00
Space group R3 (No. 146, hexagonal axes)
One atom of each set of equivalent atoms:
Ac  0.0000  0.3469  0.0000
Ac  0.0079  0.6932  0.4995
Ir  0.0000  0.0000  0.4124
Ir  0.0000  0.0000  0.5874
Au  0.0000  0.0000  0.0842

Output
Formation enthalpy at 0 K   -0.532 eV/atom
Energy above the most stable polymorph in this dataset   0 meV per atom

---

Entry 4:
# Ac9Ir4Au2

A relaxed structure of Ac9Ir4Au2 (PBE, Alexandria).

abc: 7.6375 7.6375 21.2465
angles: 90.00 90.00 120.00
Space group P-3c1 (No. 165)
One atom of each set of equivalent atoms:
Ac  0.0000  0.3436  0.2500
Ac  0.0167  0.3654  0.5810
Ir  0.3333  0.6667  0.1737
Ir  0.3333  0.6667  0.4926
Au  0.0000  0.0000  0.1614

Output
Formation enthalpy at 0 K   -0.634 eV/atom

---

Here are the calculated E numbers, same order: -5.010 -5.313 -5.605 -5.899 (eV per atom).